Record 1
DFT (PBE-GGA) results for a relaxed Mg2TcB6 crystal.

* raw total energy: -6.125 eV per atom

a b c (Å): 8.966 11.064 3.436
angles (deg): 90.00 90.00 90.00
Space group Pbam (No. 55)
One atom of each set of equivalent atoms:
Mg 0.054 0.129 0.000 [4 per cell]
Mg 0.170 0.413 0.000 [4 per cell]
Tc 0.146 0.680 0.000 [4 per cell]
B 0.018 0.288 0.500 [4 per cell]
B 0.056 0.563 0.500 [4 per cell]
B 0.092 0.975 0.500 [4 per cell]
B 0.133 0.821 0.500 [4 per cell]
B 0.201 0.240 0.500 [4 per cell]
B 0.242 0.077 0.500 [4 per cell]

***

Record 2
DFT (PBE-GGA) results for a relaxed MgTc2B2 crystal.

* raw total energy: -7.461 eV per atom

a b c (Å): 5.902 5.902 3.083
angles (deg): 90.00 90.00 90.00
Space group P4/mbm (No. 127)
One atom of each set of equivalent atoms:
Mg 0.000 0.000 0.000 [2 per cell]
Tc 0.171 0.329 0.500 [4 per cell]
B 0.112 0.612 0.000 [4 per cell]

***

Record 3
DFT (PBE-GGA) results for a relaxed MgTc2B2 crystal.

* raw total energy: -7.468 eV per atom

a b c (Å): 3.037 12.016 3.100
angles (deg): 90.00 90.00 90.00
Space group Cmmm (No. 65)
One atom of each set of equivalent atoms:
Mg 0.000 0.000 0.000 [2 per cell]
Tc 0.000 0.349 0.500 [4 per cell]
B 0.000 0.207 0.000 [4 per cell]

***

Record 4
DFT (PBE-GGA) results for a relaxed MgTc2B2 crystal.

* raw total energy: -7.156 eV per atom

a b c (Å): 3.621 3.621 9.305
angles (deg): 90.00 90.00 90.00
Space group I4/mmm (No. 139)
One atom of each set of equivalent atoms:
Mg 0.000 0.000 0.000 [2 per cell]
Tc 0.000 0.500 0.250 [4 per cell]
B 0.000 0.000 0.405 [4 per cell]

***

Record 5
DFT (PBE-GGA) results for a relaxed MgTcBTe crystal.

* raw total energy: -4.719 eV per atom

a b c (Å): 6.297 6.297 6.297
angles (deg): 90.00 90.00 90.00
Space group F-43m (No. 216)
One atom of each set of equivalent atoms:
Mg 0.000 0.000 0.000 [4 per cell]
Tc 0.000 0.000 0.500 [4 per cell]
B 0.250 0.250 0.750 [4 per cell]
Te 0.250 0.250 0.250 [4 per cell]

***

Record 6
DFT (PBE-GGA) results for a relaxed ThMgB4 crystal.

* raw total energy: -6.181 eV per atom

a b c (Å): 3.1973 3.1973 7.7531
angles (deg): 90.00 90.00 120.00
Space group P6/mmm (No. 191)
One atom of each set of equivalent atoms:
Th 0.0000 0.0000 0.0000 [1 per cell]
Mg 0.0000 0.0000 0.5000 [1 per cell]
B 0.3333 0.6667 0.2762 [4 per cell]

***

Record 7
DFT (PBE-GGA) results for a relaxed ThMgB4 crystal.

* raw total energy: -6.115 eV per atom

a b c (Å): 3.214 5.520 8.223
angles (deg): 90.00 90.00 90.00
Space group Immm (No. 71)
One atom of each set of equivalent atoms:
Th 0.000 0.000 0.000 [2 per cell]
Mg 0.000 0.000 0.500 [2 per cell]
B 0.000 0.329 0.251 [8 per cell]

***

Record 8
DFT (PBE-GGA) results for a relaxed TmMgB4 crystal.

* raw total energy: -5.819 eV per atom

a b c (Å): 3.1759 3.1759 7.2621
angles (deg): 90.00 90.00 120.00
Space group P6/mmm (No. 191)
One atom of each set of equivalent atoms:
Tm 0.0000 0.0000 0.0000 [1 per cell]
Mg 0.0000 0.0000 0.5000 [1 per cell]
B 0.3333 0.6667 0.2578 [4 per cell]